VASP calculation (PBE-GGA) on a relaxed structure of Cs4SmI5.

a b c (Å): 9.212 9.212 9.212
angles (deg): 100.57 100.57 129.27
Element x y z (fractional)
Cs 0.087 0.710 0.797
Cs 0.290 0.087 0.377
Cs 0.710 0.913 0.623
Cs 0.913 0.290 0.203
Sm 0.538 0.538 0.000
I 0.134 0.134 0.000
I 0.243 0.423 0.650
I 0.423 0.773 0.180
I 0.593 0.243 0.820
I 0.773 0.593 0.350

Crystal system: tetragonal
Magnetization: 1.90 μB per formula unit
Energy relative to the elements, uncorrected: -12.2 eV/f.u.
E_tot: -2.81 eV per atom
SG: I4, No. 79

VASP calculation (PBE-GGA) on a relaxed structure of Cs2SmI5.

a b c (Å): 9.218 9.218 10.887
angles (deg): 90.00 90.00 90.00
Element x y z (fractional)
Cs 0.000 0.500 0.000
Cs 0.000 0.500 0.500
Cs 0.500 0.000 0.000
Cs 0.500 0.000 0.500
Sm 0.000 0.000 0.215
Sm 0.500 0.500 0.715
I 0.000 0.000 0.949
I 0.231 0.231 0.264
I 0.231 0.769 0.264
I 0.269 0.269 0.764
I 0.269 0.731 0.764
I 0.500 0.500 0.449
I 0.731 0.269 0.764
I 0.731 0.731 0.764
I 0.769 0.231 0.264
I 0.769 0.769 0.264

Polymorph energy (0 for the lowest one): 43 meV/atom
Crystal system: tetragonal
Magnetization: 0.00 μB per formula unit
Energy relative to the elements, uncorrected: -11.7 eV/f.u.
E_tot: -3.23 eV per atom
SG: I4mm, No. 107